Computed, not measured: a relaxed MnFe3Bi4O12 crystal at the PBE+U level of DFT.

## Properties
Final energy (eV for the cell shown): -125.797
Symmetry: P1, No. 1
Volume (A^3/atom): 12.8

Cell lengths 5.6990, 5.6237, 9.7830 Å; angles 90.23, 106.93, 119.68 degrees
Last column: magnetic moment on the atom in μB.
Sites, in units of the cell vectors:
1 O 0.6293 0.1060 0.5525  0.04
2 O 0.1388 0.7924 0.7241  0.16
3 O 0.1332 0.7781 0.3120  -0.02
4 O 0.1428 0.6552 0.0306  0.12
5 O 0.6299 0.5750 0.4840  0.05
6 O 0.6348 0.6436 0.0557  0.11
7 O 0.6143 0.2310 0.2876  -0.04
8 O 0.1330 0.1337 0.5241  0.02
9 O 0.1371 0.2838 0.2442  -0.05
10 O 0.6472 0.7453 0.7817  0.17
11 O 0.1412 0.2699 0.7992  0.15
12 O 0.6344 0.0971 0.9710  0.10
13 Bi 0.5081 0.2540 0.7527  0.02
14 Bi 0.4930 0.7472 0.2467  0.03
15 Bi 0.9998 0.0034 0.0037  0.01
16 Bi 0.0091 0.4980 0.4987  0.03
17 Fe 0.3374 0.6738 0.8891  4.34
18 Fe 0.8390 0.9134 0.6393  4.31
19 Fe 0.8267 0.4180 0.1389  3.72
20 Mn 0.3508 0.1708 0.3943  3.42